# 1
The following is a PBE-GGA calculation of an optimized crystal structure of La2ScTl4, from Alexandria.

Uncorrected energy (eV/atom): -3.917
Density of states at the Fermi level (states/eV per cell): 6.2
Calculated density (Mg/m³): 8.98
ΔE_f (eV/atom): -0.2524

Lattice parameters (Å, degrees): 8.5624 8.5624 8.5624 144.46 144.46 51.14
With the nearest neighbours (Å) after each atom.
Fractional coordinates of all 7 atoms:
1 La 0.2480 0.2480 0.0000  8 Tl 3.44-3.48, 4 La 3.70, 1 Sc 3.83
2 La 0.7520 0.7520 0.0000  8 Tl 3.44-3.48, 4 La 3.70, 1 Sc 3.83
3 Sc 0.0000 0.0000 0.0000  8 Tl 3.06
4 Tl 0.1035 0.6035 0.5000  2 Sc 3.06, 1 Tl 3.20
5 Tl 0.3965 0.8965 0.5000  2 Sc 3.06, 1 Tl 3.20
6 Tl 0.6035 0.1035 0.5000  2 Sc 3.06, 1 Tl 3.20
7 Tl 0.8965 0.3965 0.5000  2 Sc 3.06, 1 Tl 3.20

# 2
The following is a PBE-GGA calculation of an optimized crystal structure of LaSc2Tl, from Alexandria.

Uncorrected energy (eV/atom): -5.040
Density of states at the Fermi level (states/eV per cell): 4.0
Calculated density (Mg/m³): 6.69
ΔE_f (eV/atom): -0.0513

Lattice parameters (Å, degrees): 10.7740 10.7740 10.7740 18.29 18.29 18.29
With the nearest neighbours (Å) after each atom.
Fractional coordinates of all 4 atoms:
1 La 0.0000 0.0000 0.0000  6 Sc 3.42, 6 La 3.42
2 Sc 0.2455 0.2455 0.2455  3 Tl 3.19, 3 La 3.42, 6 Sc 3.42
3 Sc 0.7545 0.7545 0.7545  3 Tl 3.19, 3 La 3.42, 6 Sc 3.42
4 Tl 0.5000 0.5000 0.5000  6 Sc 3.19, 6 Tl 3.42

# 3
The following is a PBE-GGA calculation of an optimized crystal structure of LaSc2Tl, from Alexandria.

Uncorrected energy (eV/atom): -5.116
Density of states at the Fermi level (states/eV per cell): 5.0
Calculated density (Mg/m³): 6.74
ΔE_f (eV/atom): -0.1272

Lattice parameters (Å, degrees): 3.5196 3.5196 8.6215 90.00 90.00 90.00
With the nearest neighbours (Å) after each atom.
Fractional coordinates of all 4 atoms:
1 La 0.0000 0.0000 0.0000  8 Sc 3.48, 4 La 3.52
2 Sc 0.5000 0.5000 0.2818  4 Tl 3.12, 4 La 3.48
3 Sc 0.5000 0.5000 0.7182  4 Tl 3.12, 4 La 3.48
4 Tl 0.0000 0.0000 0.5000  8 Sc 3.12

# 4
The following is a PBE-GGA calculation of an optimized crystal structure of LaSc2Tl, from Alexandria.

Uncorrected energy (eV/atom): -4.998
Density of states at the Fermi level (states/eV per cell): 5.1
Calculated density (Mg/m³): 6.08
ΔE_f (eV/atom): -0.0093

Lattice parameters (Å, degrees): 6.2924 6.2924 6.2924 46.17 46.17 46.17
With the nearest neighbours (Å) after each atom.
Fractional coordinates of all 4 atoms:
1 La 0.0000 0.0000 0.0000  4 Tl 3.46-3.57, 7 Sc 3.48-3.62
2 Sc 0.2149 0.2149 0.2149  3 Tl 3.21, 3 Sc 3.28, 3 La 3.48
3 Sc 0.4521 0.4521 0.4521  3 Tl 2.85
4 Tl 0.7943 0.7943 0.7943  3 Sc 2.85

# 5
The following is a PBE-GGA calculation of an optimized crystal structure of La2ScTl, from Alexandria.

Uncorrected energy (eV/atom): -4.702
Density of states at the Fermi level (states/eV per cell): 6.2
Calculated density (Mg/m³): 7.15
ΔE_f (eV/atom): -0.0638

Lattice parameters (Å, degrees): 11.1228 11.1228 11.1228 18.61 18.61 18.61
With the nearest neighbours (Å) after each atom.
Fractional coordinates of all 4 atoms:
1 La 0.0000 0.0000 0.0000  3 Sc 3.45, 9 La 3.60-3.65
2 La 0.2419 0.2419 0.2419  3 Tl 3.47, 9 La 3.60-3.65
3 Sc 0.7506 0.7506 0.7506  3 Tl 3.17, 3 La 3.45
4 Tl 0.4903 0.4903 0.4903  3 Sc 3.17, 3 La 3.47

# 6
The following is a PBE-GGA calculation of an optimized crystal structure of LaSc3Tl, from Alexandria.

Uncorrected energy (eV/atom): -4.888
Density of states at the Fermi level (states/eV per cell): 11.3
Calculated density (Mg/m³): 4.91
ΔE_f (eV/atom): 0.3698

Lattice parameters (Å, degrees): 5.4495 5.4495 5.4495 90.00 90.00 90.00
With the nearest neighbours (Å) after each atom.
Fractional coordinates of all 5 atoms:
1 La 0.0000 0.0000 0.0000  12 Sc 3.85
2 Sc 0.0000 0.5000 0.5000  2 Tl 2.72
3 Sc 0.5000 0.0000 0.5000  2 Tl 2.72
4 Sc 0.5000 0.5000 0.0000  2 Tl 2.72
5 Tl 0.5000 0.5000 0.5000  6 Sc 2.72

# 7
The following is a PBE-GGA calculation of an optimized crystal structure of La2ScTl, from Alexandria.

Uncorrected energy (eV/atom): -4.813
Density of states at the Fermi level (states/eV per cell): 5.7
Calculated density (Mg/m³): 7.00
ΔE_f (eV/atom): -0.1748

Lattice parameters (Å, degrees): 3.6614 5.2290 6.7781 90.00 105.53 90.00
With the nearest neighbours (Å) after each atom.
Fractional coordinates of all 4 atoms:
1 La 0.0000 0.0000 0.0000  4 Sc 3.41, 3 Tl 3.45-3.61, 2 La 3.66
2 La 0.3158 0.5000 0.6373  4 Tl 3.42, 3 Sc 3.47-3.58, 2 La 3.66
3 Sc 0.5922 0.5000 0.1854  2 Tl 3.13, 6 La 3.41-3.47
4 Tl 0.7223 0.0000 0.4477  2 Sc 3.13, 6 La 3.42-3.45

# 8
The following is a PBE-GGA calculation of an optimized crystal structure of LaSc2Tl, from Alexandria.

Uncorrected energy (eV/atom): -4.961
Density of states at the Fermi level (states/eV per cell): 7.2
Calculated density (Mg/m³): 6.54
ΔE_f (eV/atom): 0.0286

Lattice parameters (Å, degrees): 3.3425 3.3425 10.8065 90.00 90.00 114.33
With the nearest neighbours (Å) after each atom.
Fractional coordinates of all 4 atoms:
1 La 0.0000 0.0000 0.0000  6 La 3.34-3.62, 4 Sc 3.43
2 Sc 0.5000 0.5000 0.2700  2 Tl 3.08, 4 Sc 3.34, 2 La 3.43
3 Sc 0.5000 0.5000 0.7300  2 Tl 3.08, 4 Sc 3.34, 2 La 3.43
4 Tl 0.0000 0.0000 0.5000  4 Sc 3.08, 4 Tl 3.34